DFT (GGA+U) results for a relaxed structure of LuWO4.

The energy comes out at -7.961 eV/atom. For the magnetization, the calculation gives 4.00 μB per cell. The calculation puts the density of states at the Fermi level at 0.000 states/eV per atom.

It has space group I4_1/a (No. 88, origin choice 2), with a = 5.181 Å, b = 5.181 Å, c = 10.822 Å, α = 90.00°, β = 90.00° and γ = 90.00°. The asymmetric unit holds Lu at (0.000, 0.250, 0.125), W at (0.000, 0.250, 0.625) and O at (0.195, 0.005, 0.286).